1.
First-principles (PBE) data for Np2SnGe after structural relaxation, as listed in Alexandria.

Lattice parameters (Å, degrees): 4.573 4.573 4.447 90.00 90.00 90.00
Space group P4/mmm (No. 123)
One atom of each set of equivalent atoms:
Np: 0.000 0.500 0.000 (multiplicity 2)
Sn: 0.000 0.000 0.500 (multiplicity 1)
Ge: 0.500 0.500 0.500 (multiplicity 1)

Calculated values
Total energy   -8.64 eV/atom
Formation energy   -0.0179 eV/atom

=====

2.
First-principles (PBE) data for NpSnGe2 after structural relaxation, as listed in Alexandria.

Lattice parameters (Å, degrees): 3.738 3.738 6.246 90.00 90.00 90.00
Space group P4/mmm (No. 123)
One atom of each set of equivalent atoms:
Np: 0.000 0.000 0.000 (multiplicity 1)
Sn: 0.000 0.000 0.500 (multiplicity 1)
Ge: 0.500 0.500 0.265 (multiplicity 2)

Calculated values
Total energy   -6.51 eV/atom
Relative energy among the computed polymorphs   0.203 eV per atom
Formation energy   0.0305 eV/atom

=====

| no. | V (Å³ per cell) |
| --- | --- |
| 1 | 93 |
| 2 | 87 |